# SrCa2RuBr

A geometry-optimized SrCa2RuBr structure (PBE-GGA, Alexandria via LeMat-Bulk).

Cell and atoms, written as POSCAR:
```
SrCa2RuBr
1.0
-0.144 2.513 -6.354
0.442 -5.100 -2.027
-6.811 -0.563 -0.068
Sr Ca Br Ru
1 2 1 1
direct
0.000 0.000 0.000 Sr
0.500 0.000 0.000 Ca
0.000 0.000 0.500 Ca
0.000 0.500 0.000 Br
0.500 0.500 0.500 Ru
```

Calculated values
Raw total energy ... -2.270 eV per atom
SG ... No. 123
Formation energy without anion corrections ... 1.06 eV per atom
Total magnetic moment ... 0.5652 μB per atom